Entry 1:
{
  "formula": "Ca2Ge4RhAu3",
  "functional": "PBE",
  "state": "relaxed",
  "lattice": [[4.299, 0.000, 0.000], [0.000, 4.299, 0.000], [0.000, 0.000, 11.060]],
  "species": ["Ca", "Ca", "Ge", "Ge", "Ge", "Ge", "Rh", "Au", "Au", "Au"],
  "fractional_positions": [[0.500, 0.000, 0.261], [0.000, 0.500, 0.739], [0.500, 0.500, 0.000], [0.000, 0.000, 0.000], [0.500, 0.000, 0.625], [0.000, 0.500, 0.375], [0.500, 0.500, 0.500], [0.000, 0.000, 0.500], [0.500, 0.000, 0.852], [0.000, 0.500, 0.148]],
  "ef_kj_per_mol_fu": -475,
  "mass_density_g_cm3": 8.65,
  "magmom_total_mub_per_fu": 0.0,
  "final_energy_ev_per_atom": -4.458,
  "n_ef_per_ev_cell": 5.6
}

Entry 2:
{
  "formula": "CaGeRu2Au",
  "functional": "PBE",
  "state": "relaxed",
  "lattice": [[-2.208, 0.998, -3.883], [2.113, -4.053, -2.244], [-3.531, -2.584, 1.343]],
  "species": ["Ru", "Ru", "Ge", "Au", "Ca"],
  "fractional_positions": [[0.000, 0.000, 0.500], [0.500, 0.000, 0.000], [0.000, 0.000, 0.000], [0.500, 0.500, 0.500], [0.000, 0.500, 0.000]],
  "ef_kj_per_mol_fu": 301,
  "mass_density_g_cm3": 7.97,
  "magmom_total_mub_per_fu": 1.4,
  "final_energy_ev_per_atom": -5.065,
  "n_ef_per_ev_cell": 2.7
}

Entry 3:
{
  "formula": "Ca3GeSb2Au6",
  "functional": "PBE",
  "state": "relaxed",
  "lattice": [[5.935, 0.000, 0.000], [-2.968, 5.140, 0.000], [0.000, 0.000, 9.647]],
  "species": ["Ca", "Ca", "Ca", "Ge", "Sb", "Sb", "Au", "Au", "Au", "Au", "Au", "Au"],
  "fractional_positions": [[0.333, 0.667, 0.594], [0.667, 0.333, 0.406], [0.000, 0.000, 0.000], [0.000, 0.000, 0.500], [0.667, 0.333, 0.931], [0.333, 0.667, 0.069], [0.668, 0.834, 0.292], [0.166, 0.332, 0.292], [0.166, 0.834, 0.292], [0.834, 0.668, 0.708], [0.332, 0.166, 0.708], [0.834, 0.166, 0.708]],
  "mass_density_g_cm3": 9.13,
  "magmom_total_mub_per_fu": 0.0,
  "final_energy_ev_per_atom": -3.704,
  "n_ef_per_ev_cell": 5.4
}